VASP calculation (PBE+U) on an optimized crystal structure of CaTaVO6.

a = 4.831 Å, b = 4.831 Å, c = 9.403 Å
α = 90.00°, β = 90.00°, γ = 90.00°
Fractional coordinates of all 18 atoms:
O 0.710 0.710 0.303
O 0.290 0.290 0.303
O 0.278 0.278 0.693
O 0.673 0.673 0.007
Ta 0.000 0.000 0.332
O 0.173 0.827 0.507
O 0.222 0.778 0.193
O 0.327 0.327 0.007
Ca 0.000 0.000 0.997
V 0.500 0.500 0.166
O 0.210 0.790 0.803
O 0.827 0.173 0.507
O 0.778 0.222 0.193
V 0.000 0.000 0.666
Ca 0.500 0.500 0.497
Ta 0.500 0.500 0.832
O 0.790 0.210 0.803
O 0.722 0.722 0.693

Computed properties:
Final energy, Ha/atom: -0.299
Magnetization, μB/f.u.: 0.00